No. 1
Here is a geometry-optimized Dy7InTe2 structure from Alexandria. Energies are from PBE-GGA.

Cell lengths 8.6082, 8.6082, 5.4480 Å; angles 90.00, 90.00, 118.27 degrees
Closest atoms and distances in Å follow each position.
Atoms (fractional coordinates):
Dy 0.0000 0.0000 0.0000  2 Te 2.98, 4 Dy 3.30
Dy 0.1981 0.4356 0.0000  2 Te 3.05-3.11, 2 Dy 3.24-3.30
Dy 0.2713 0.7287 0.5000  2 Te 2.91
Dy 0.4356 0.1981 0.0000  2 Te 3.05-3.11, 2 Dy 3.24-3.30
Dy 0.5644 0.8019 0.0000  2 Te 3.05-3.11, 2 Dy 3.24-3.30
Dy 0.7287 0.2713 0.5000  2 Te 2.91
Dy 0.8019 0.5644 0.0000  2 Te 3.05-3.11, 2 Dy 3.24-3.30
In 0.5000 0.5000 0.5000  10 Dy 3.38-3.62
Te 0.2014 0.7986 0.0000  7 Dy 2.91-3.11
Te 0.7986 0.2014 0.0000  7 Dy 2.91-3.11

- crystal system = orthorhombic
- total magnetic moment (μB per formula unit) = 0.0
- E_form (uncorrected) (kJ/mol of formula units) = -106
- space-group type = Cmmm (65)

***

No. 2
Here is a geometry-optimized Dy4InTe5 structure from Alexandria. Energies are from PBE-GGA.

Cell lengths 9.2445, 9.7984, 7.7530 Å; angles 90.00, 90.00, 90.00 degrees
Closest atoms and distances in Å follow each position.
Atoms (fractional coordinates):
Dy 0.0095 0.2500 0.0903  5 Te 3.03-3.23, 1 In 3.18
Dy 0.2500 0.0278 0.5089  5 Te 3.00-3.25, 1 In 3.12
Dy 0.2500 0.4722 0.5089  5 Te 3.00-3.25, 1 In 3.12
Dy 0.4905 0.2500 0.0903  5 Te 3.03-3.23, 1 In 3.18
Dy 0.5095 0.7500 0.9097  5 Te 3.03-3.23, 1 In 3.18
Dy 0.7500 0.5278 0.4911  5 Te 3.00-3.25, 1 In 3.12
Dy 0.7500 0.9722 0.4911  5 Te 3.00-3.25, 1 In 3.12
Dy 0.9905 0.7500 0.9097  5 Te 3.03-3.23, 1 In 3.18
In 0.2500 0.2500 0.7977  4 Dy 3.12-3.18, 4 Te 3.25
In 0.7500 0.7500 0.2023  4 Dy 3.12-3.18, 4 Te 3.25
Te 0.0274 0.5473 0.2356  4 Dy 3.04-3.25, 1 In 3.25
Te 0.0274 0.9527 0.2356  4 Dy 3.04-3.25, 1 In 3.25
Te 0.2500 0.7500 0.6712  4 Dy 3.00-3.03
Te 0.4726 0.5473 0.2356  4 Dy 3.04-3.25, 1 In 3.25
Te 0.4726 0.9527 0.2356  4 Dy 3.04-3.25, 1 In 3.25
Te 0.5274 0.0473 0.7644  4 Dy 3.04-3.25, 1 In 3.25
Te 0.5274 0.4527 0.7644  4 Dy 3.04-3.25, 1 In 3.25
Te 0.7500 0.2500 0.3288  4 Dy 3.00-3.03
Te 0.9726 0.0473 0.7644  4 Dy 3.04-3.25, 1 In 3.25
Te 0.9726 0.4527 0.7644  4 Dy 3.04-3.25, 1 In 3.25

- crystal system = orthorhombic
- total magnetic moment (μB per formula unit) = 0.3
- E_form (uncorrected) (kJ/mol of formula units) = -910
- space-group type = Pmmn (59)

***

No. 3
Here is a geometry-optimized Dy2InTe structure from Alexandria. Energies are from PBE-GGA.

Cell lengths 6.1848, 6.1847, 12.3904 Å; angles 90.00, 90.00, 90.00 degrees
Closest atoms and distances in Å follow each position.
Atoms (fractional coordinates):
Dy 0.0000 0.2467 0.1281  3 Te 3.06-3.09, 3 In 3.09-3.14
Dy 0.0000 0.2517 0.6219  3 Te 3.06-3.09, 3 In 3.09-3.14
Dy 0.0000 0.7483 0.3781  3 Te 3.06-3.09, 3 In 3.09-3.14
Dy 0.0000 0.7533 0.8719  3 Te 3.06-3.09, 3 In 3.09-3.14
Dy 0.5000 0.2467 0.3719  3 Te 3.06-3.09, 3 In 3.09-3.14
Dy 0.5000 0.2517 0.8781  3 Te 3.06-3.09, 3 In 3.09-3.14
Dy 0.5000 0.7483 0.1219  3 Te 3.06-3.09, 3 In 3.09-3.14
Dy 0.5000 0.7533 0.6281  3 Te 3.06-3.09, 3 In 3.09-3.14
In 0.0000 0.2532 0.8750  6 Dy 3.09-3.14
In 0.0000 0.7468 0.1250  6 Dy 3.09-3.14
In 0.5000 0.2532 0.6250  6 Dy 3.09-3.14
In 0.5000 0.7468 0.3750  6 Dy 3.09-3.14
Te 0.0000 0.2483 0.3750  6 Dy 3.06-3.09
Te 0.0000 0.7517 0.6250  6 Dy 3.06-3.09
Te 0.5000 0.2483 0.1250  6 Dy 3.06-3.09
Te 0.5000 0.7517 0.8750  6 Dy 3.06-3.09

- crystal system = orthorhombic
- total magnetic moment (μB per formula unit) = 0.0
- E_form (uncorrected) (kJ/mol of formula units) = -306
- space-group type = Pmna (53)

***

No. 4
Here is a geometry-optimized Dy5In2Te2 structure from Alexandria. Energies are from PBE-GGA.

Cell lengths 8.7886, 8.7886, 8.0929 Å; angles 90.00, 90.00, 54.68 degrees
Closest atoms and distances in Å follow each position.
Atoms (fractional coordinates):
Dy 0.0000 0.0000 0.0000  2 Te 3.16, 4 In 3.16-3.19
Dy 0.0322 0.6950 0.6661  3 In 3.15-3.23, 3 Te 3.16-3.20
Dy 0.1950 0.5322 0.1661  3 In 3.15-3.23, 3 Te 3.16-3.20
Dy 0.3050 0.9678 0.6661  3 In 3.15-3.23, 3 Te 3.16-3.20
Dy 0.4678 0.8050 0.1661  3 In 3.15-3.23, 3 Te 3.16-3.20
Dy 0.5000 0.5000 0.5000  2 Te 3.16, 4 In 3.16-3.19
Dy 0.5322 0.1950 0.8339  3 In 3.15-3.23, 3 Te 3.16-3.20
Dy 0.6950 0.0322 0.3339  3 In 3.15-3.23, 3 Te 3.16-3.20
Dy 0.8050 0.4678 0.8339  3 In 3.15-3.23, 3 Te 3.16-3.20
Dy 0.9678 0.3050 0.3339  3 In 3.15-3.23, 3 Te 3.16-3.20
In 0.1302 0.8698 0.3718  1 In 2.95, 8 Dy 3.15-3.23
In 0.3698 0.6302 0.8718  1 In 2.95, 8 Dy 3.15-3.23
In 0.6302 0.3698 0.1282  1 In 2.95, 8 Dy 3.15-3.23
In 0.8698 0.1302 0.6282  1 In 2.95, 8 Dy 3.15-3.23
Te 0.2022 0.2022 0.0000  7 Dy 3.16-3.20
Te 0.2978 0.2978 0.5000  7 Dy 3.16-3.20
Te 0.7022 0.7022 0.5000  7 Dy 3.16-3.20
Te 0.7978 0.7978 0.0000  7 Dy 3.16-3.20

- crystal system = orthorhombic
- total magnetic moment (μB per formula unit) = 0.0
- E_form (uncorrected) (kJ/mol of formula units) = -710
- space-group type = Cmce (64)

***

No. 5
Here is a geometry-optimized Dy3InTe4 structure from Alexandria. Energies are from PBE-GGA.

Cell lengths 6.2333, 9.7702, 9.3922 Å; angles 90.00, 90.00, 90.00 degrees
Closest atoms and distances in Å follow each position.
Atoms (fractional coordinates):
Dy 0.2500 0.0528 0.1542  5 Te 3.05-3.12
Dy 0.2500 0.2500 0.7630  5 Te 3.01-3.26
Dy 0.2500 0.4472 0.1542  5 Te 3.05-3.12
Dy 0.7500 0.5528 0.8458  5 Te 3.05-3.12
Dy 0.7500 0.7500 0.2370  5 Te 3.01-3.26
Dy 0.7500 0.9472 0.8458  5 Te 3.05-3.12
In 0.2500 0.7500 0.5793  5 Te 3.12-3.21
In 0.7500 0.2500 0.4207  5 Te 3.12-3.21
Te 0.2500 0.2500 0.4161  2 In 3.12, 3 Dy 3.12-3.26
Te 0.2500 0.5475 0.8463  4 Dy 3.01-3.12, 1 In 3.19
Te 0.2500 0.7500 0.2373  4 Dy 3.06-3.12, 1 In 3.21
Te 0.2500 0.9525 0.8463  4 Dy 3.01-3.12, 1 In 3.19
Te 0.7500 0.0475 0.1537  4 Dy 3.01-3.12, 1 In 3.19
Te 0.7500 0.2500 0.7627  4 Dy 3.06-3.12, 1 In 3.21
Te 0.7500 0.4525 0.1537  4 Dy 3.01-3.12, 1 In 3.19
Te 0.7500 0.7500 0.5839  2 In 3.12, 3 Dy 3.12-3.26

- crystal system = orthorhombic
- total magnetic moment (μB per formula unit) = 0.1
- E_form (uncorrected) (kJ/mol of formula units) = -707
- space-group type = Pmmn (59)

***

No. 6
Here is a geometry-optimized Dy6InTe5 structure from Alexandria. Energies are from PBE-GGA.

Cell lengths 7.5670, 7.5670, 7.5665 Å; angles 99.55, 99.55, 119.84 degrees
Closest atoms and distances in Å follow each position.
Atoms (fractional coordinates):
Dy 0.0798 0.4029 0.7421  1 In 2.99, 5 Te 3.09-3.15
Dy 0.2394 0.2394 0.2540  1 In 3.00, 5 Te 3.10-3.18
Dy 0.4029 0.0798 0.7421  1 In 2.99, 5 Te 3.09-3.15
Dy 0.5971 0.9202 0.2579  1 In 2.99, 5 Te 3.09-3.15
Dy 0.7606 0.7606 0.7460  1 In 3.00, 5 Te 3.10-3.18
Dy 0.9202 0.5971 0.2579  1 In 2.99, 5 Te 3.09-3.15
In 0.0000 0.0000 0.5000  6 Dy 2.99-3.00
Te 0.1715 0.8285 0.0000  6 Dy 3.09-3.15
Te 0.3346 0.6654 0.5000  6 Dy 3.10
Te 0.5000 0.5000 0.0000  6 Dy 3.10-3.18
Te 0.6654 0.3346 0.5000  6 Dy 3.10
Te 0.8285 0.1715 0.0000  6 Dy 3.09-3.15

- crystal system = monoclinic
- total magnetic moment (μB per formula unit) = 0.0
- E_form (uncorrected) (kJ/mol of formula units) = -1351
- space-group type = C2/m (12)

***

No. 7
Here is a geometry-optimized DyIn2Te3 structure from Alexandria. Energies are from PBE-GGA.

Cell lengths 9.2099, 4.2722, 10.6482 Å; angles 90.00, 113.08, 90.00 degrees
Closest atoms and distances in Å follow each position.
Atoms (fractional coordinates):
Dy 0.1858 0.2500 0.1682  6 Te 3.07-3.31, 2 In 3.31
Dy 0.8142 0.7500 0.8318  6 Te 3.07-3.31, 2 In 3.31
In 0.1882 0.2500 0.5507  4 Te 3.29-3.42
In 0.3398 0.7500 0.0170  5 Te 2.92-3.24
In 0.6602 0.2500 0.9830  5 Te 2.92-3.24
In 0.8118 0.7500 0.4493  4 Te 3.29-3.42
Te 0.0695 0.2500 0.8488  3 Dy 3.13-3.14, 2 In 3.24
Te 0.3263 0.7500 0.3899  2 Dy 3.07, 2 In 3.29
Te 0.4383 0.7500 0.7876  3 In 2.92-3.12
Te 0.5617 0.2500 0.2124  3 In 2.92-3.12
Te 0.6737 0.2500 0.6101  2 Dy 3.07, 2 In 3.29
Te 0.9305 0.7500 0.1512  3 Dy 3.13-3.14, 2 In 3.24

- crystal system = monoclinic
- total magnetic moment (μB per formula unit) = 0.0
- E_form (uncorrected) (kJ/mol of formula units) = -350
- space-group type = P2_1/m (11)

***

No. 8
Here is a geometry-optimized DyInTe4 structure from Alexandria. Energies are from PBE-GGA.

Cell lengths 6.2273, 10.0422, 7.9328 Å; angles 90.00, 112.92, 90.00 degrees
Closest atoms and distances in Å follow each position.
Atoms (fractional coordinates):
Dy 0.0945 0.2500 0.1825  7 Te 3.06-3.27
Dy 0.9055 0.7500 0.8175  7 Te 3.06-3.27
In 0.2727 0.7500 0.3571  4 Te 2.77-2.95
In 0.7273 0.2500 0.6429  4 Te 2.77-2.95
Te 0.0792 0.0548 0.8616  1 In 2.95, 1 Te 2.95, 2 Dy 3.18-3.22
Te 0.0792 0.4452 0.8616  1 In 2.95, 1 Te 2.95, 2 Dy 3.18-3.22
Te 0.2636 0.2500 0.5996  1 In 2.77, 1 Dy 3.06
Te 0.3804 0.7500 0.7339  1 In 2.80, 1 Dy 3.07
Te 0.6196 0.2500 0.2661  1 In 2.80, 1 Dy 3.07
Te 0.7364 0.7500 0.4004  1 In 2.77, 1 Dy 3.06
Te 0.9208 0.5548 0.1384  1 In 2.95, 1 Te 2.95, 2 Dy 3.18-3.22
Te 0.9208 0.9452 0.1384  1 In 2.95, 1 Te 2.95, 2 Dy 3.18-3.22

- crystal system = monoclinic
- total magnetic moment (μB per formula unit) = 0.0
- E_form (uncorrected) (kJ/mol of formula units) = -332
- space-group type = P2_1/m (11)

***

No. 9
Here is a geometry-optimized Dy2InTe5 structure from Alexandria. Energies are from PBE-GGA.

Cell lengths 8.0421, 8.0421, 13.6187 Å; angles 90.00, 90.00, 134.84 degrees
Closest atoms and distances in Å follow each position.
Atoms (fractional coordinates):
Dy 0.1691 0.8309 0.5670  6 Te 3.05-3.10
Dy 0.1691 0.8309 0.9330  6 Te 3.05-3.10
Dy 0.8309 0.1691 0.0670  6 Te 3.05-3.10
Dy 0.8309 0.1691 0.4330  6 Te 3.05-3.10
In 0.1959 0.8041 0.2500  6 Te 2.97-3.11
In 0.8041 0.1959 0.7500  6 Te 2.97-3.11
Te 0.0341 0.9659 0.1049  1 Te 3.03, 2 Dy 3.06-3.08, 1 In 3.11
Te 0.0341 0.9659 0.3951  1 Te 3.03, 2 Dy 3.06-3.08, 1 In 3.11
Te 0.2872 0.7128 0.7500  2 Dy 3.05, 2 In 3.10
Te 0.3235 0.6765 0.0816  1 In 2.97, 3 Dy 3.06-3.10
Te 0.3235 0.6765 0.4184  1 In 2.97, 3 Dy 3.06-3.10
Te 0.6765 0.3235 0.5816  1 In 2.97, 3 Dy 3.06-3.10
Te 0.6765 0.3235 0.9184  1 In 2.97, 3 Dy 3.06-3.10
Te 0.7128 0.2872 0.2500  2 Dy 3.05, 2 In 3.10
Te 0.9659 0.0341 0.6049  1 Te 3.03, 2 Dy 3.06-3.08, 1 In 3.11
Te 0.9659 0.0341 0.8951  1 Te 3.03, 2 Dy 3.06-3.08, 1 In 3.11

- crystal system = orthorhombic
- total magnetic moment (μB per formula unit) = 0.0
- E_form (uncorrected) (kJ/mol of formula units) = -638
- space-group type = Cmcm (63)

***

Repeat the third record exactly.
Here is a geometry-optimized Dy2InTe structure from Alexandria. Energies are from PBE-GGA.

Cell lengths 6.1848, 6.1847, 12.3904 Å; angles 90.00, 90.00, 90.00 degrees
Closest atoms and distances in Å follow each position.
Atoms (fractional coordinates):
Dy 0.0000 0.2467 0.1281  3 Te 3.06-3.09, 3 In 3.09-3.14
Dy 0.0000 0.2517 0.6219  3 Te 3.06-3.09, 3 In 3.09-3.14
Dy 0.0000 0.7483 0.3781  3 Te 3.06-3.09, 3 In 3.09-3.14
Dy 0.0000 0.7533 0.8719  3 Te 3.06-3.09, 3 In 3.09-3.14
Dy 0.5000 0.2467 0.3719  3 Te 3.06-3.09, 3 In 3.09-3.14
Dy 0.5000 0.2517 0.8781  3 Te 3.06-3.09, 3 In 3.09-3.14
Dy 0.5000 0.7483 0.1219  3 Te 3.06-3.09, 3 In 3.09-3.14
Dy 0.5000 0.7533 0.6281  3 Te 3.06-3.09, 3 In 3.09-3.14
In 0.0000 0.2532 0.8750  6 Dy 3.09-3.14
In 0.0000 0.7468 0.1250  6 Dy 3.09-3.14
In 0.5000 0.2532 0.6250  6 Dy 3.09-3.14
In 0.5000 0.7468 0.3750  6 Dy 3.09-3.14
Te 0.0000 0.2483 0.3750  6 Dy 3.06-3.09
Te 0.0000 0.7517 0.6250  6 Dy 3.06-3.09
Te 0.5000 0.2483 0.1250  6 Dy 3.06-3.09
Te 0.5000 0.7517 0.8750  6 Dy 3.06-3.09

- crystal system = orthorhombic
- total magnetic moment (μB per formula unit) = 0.0
- E_form (uncorrected) (kJ/mol of formula units) = -306
- space-group type = Pmna (53)